# 1
# VBN, relaxed, DFT PBE-GGA
# V	8.411	Å³/atom
# DOS(E_F)	0.4025	states/eV/atom
# uncorrected formation energy	-0.46	eV per atom
data_VBN
_chemical_formula_sum 'V2 B2 N2'
_symmetry_space_group_name_H-M 'P 1'
_symmetry_Int_Tables_number 1
_symmetry_space_group_name_Hall 'P 1'
_cell_length_a 2.8933
_cell_length_b 4.0521
_cell_length_c 4.9273
_cell_angle_alpha 68.35
_cell_angle_beta 76.54
_cell_angle_gamma 71.46
loop_
_atom_site_label
_atom_site_type_symbol
_atom_site_fract_x
_atom_site_fract_y
_atom_site_fract_z
V1 V 0.0000 0.0000 0.0000
V2 V 0.3305 0.5880 0.6450
B1 B 0.2919 0.3542 0.1382
B2 B 0.7728 0.2142 0.3724
N1 N 0.6433 0.9981 0.6864
N2 N 0.9567 0.5566 0.3487



# 2
# VBN, relaxed, DFT PBE-GGA
# V	8.628	Å³/atom
# DOS(E_F)	0.5740	states/eV/atom
# uncorrected formation energy	-0.50	eV per atom
data_VBN
_chemical_formula_sum 'V2 B2 N2'
_symmetry_space_group_name_H-M 'P 1 m 1'
_symmetry_Int_Tables_number 6
_symmetry_space_group_name_Hall 'P -2y'
_cell_length_a 4.2615
_cell_length_b 2.9785
_cell_length_c 4.2934
_cell_angle_alpha 90.00
_cell_angle_beta 108.21
_cell_angle_gamma 90.00
loop_
_atom_site_label
_atom_site_type_symbol
_atom_site_fract_x
_atom_site_fract_y
_atom_site_fract_z
V1 V 0.0000 0.0000 0.0000
V2 V 0.2757 0.5000 0.5713
B1 B 0.4427 0.5000 0.1286
B2 B 0.5803 0.0000 0.3810
N1 N 0.6771 0.5000 0.9373
N2 N 0.9463 0.0000 0.4857



# 3
# VB3N, relaxed, DFT PBE-GGA
# V	13.469	Å³/atom
# DOS(E_F)	1.2416	states/eV/atom
# uncorrected formation energy	2.62	eV per atom
data_VB3N
_chemical_formula_sum 'V1 B3 N1'
_symmetry_space_group_name_H-M 'P m -3 m'
_symmetry_Int_Tables_number 221
_symmetry_space_group_name_Hall '-P 4 2 3'
_cell_length_a 4.0685
_cell_length_b 4.0685
_cell_length_c 4.0685
_cell_angle_alpha 90.00
_cell_angle_beta 90.00
_cell_angle_gamma 90.00
loop_
_atom_site_label
_atom_site_type_symbol
_atom_site_fract_x
_atom_site_fract_y
_atom_site_fract_z
V1 V 0.0000 0.0000 0.0000
B1 B 0.0000 0.0000 0.5000
N1 N 0.5000 0.5000 0.5000



# 4
# VB3N3, relaxed, DFT PBE-GGA
# V	7.205	Å³/atom
# DOS(E_F)	0.3456	states/eV/atom
# uncorrected formation energy	0.30	eV per atom
data_VB3N3
_chemical_formula_sum 'V2 B6 N6'
_symmetry_space_group_name_H-M 'P m -3 n'
_symmetry_Int_Tables_number 223
_symmetry_space_group_name_Hall '-P 4n 2 3'
_cell_length_a 4.6550
_cell_length_b 4.6550
_cell_length_c 4.6550
_cell_angle_alpha 90.00
_cell_angle_beta 90.00
_cell_angle_gamma 90.00
loop_
_atom_site_label
_atom_site_type_symbol
_atom_site_fract_x
_atom_site_fract_y
_atom_site_fract_z
V1 V 0.0000 0.0000 0.0000
B1 B 0.0000 0.2500 0.5000
N1 N 0.0000 0.5000 0.2500



Q: Among the records above, which one has the highest V?
A: VB3N



Copy entry 1 word for word.
# VBN, relaxed, DFT PBE-GGA
# V	8.411	Å³/atom
# DOS(E_F)	0.4025	states/eV/atom
# uncorrected formation energy	-0.46	eV per atom
data_VBN
_chemical_formula_sum 'V2 B2 N2'
_symmetry_space_group_name_H-M 'P 1'
_symmetry_Int_Tables_number 1
_symmetry_space_group_name_Hall 'P 1'
_cell_length_a 2.8933
_cell_length_b 4.0521
_cell_length_c 4.9273
_cell_angle_alpha 68.35
_cell_angle_beta 76.54
_cell_angle_gamma 71.46
loop_
_atom_site_label
_atom_site_type_symbol
_atom_site_fract_x
_atom_site_fract_y
_atom_site_fract_z
V1 V 0.0000 0.0000 0.0000
V2 V 0.3305 0.5880 0.6450
B1 B 0.2919 0.3542 0.1382
B2 B 0.7728 0.2142 0.3724
N1 N 0.6433 0.9981 0.6864
N2 N 0.9567 0.5566 0.3487



Q: Among the records above, which one has the lowest uncorrected formation energy?
A: number 2



Q: Which of these has the highest V?
A: VB3N